VASP calculation (PBE+U) on a relaxed BaYb2Mo4O16 crystal.

Magnetization = 4.33 μB per cell
Total DFT energy (no corrections) = -0.2551 Ha/atom
Space group = C2/c

Lattice parameters (Å, degrees): 6.8884 6.8884 19.9788 89.36 89.36 134.73
Site moments in Bohr magnetons follow the coordinates.
Atoms (fractional coordinates):
O 0.4596 0.2927 0.8326  0.09
O 0.1031 0.4905 0.7084  0.04
O 0.7073 0.5404 0.6674  0.09
O 0.2927 0.4596 0.3326  0.09
O 0.5095 0.8969 0.7916  0.04
O 0.5083 0.1675 0.5447  0.06
O 0.9176 0.6139 0.1322  0.05
O 0.8969 0.5095 0.2916  0.04
O 0.0666 0.5907 0.5665  0.05
O 0.7349 0.0051 0.3277  0.09
O 0.2651 0.9949 0.6723  0.09
O 0.0824 0.3861 0.8678  0.05
O 0.5907 0.0666 0.0665  0.05
O 0.3861 0.0824 0.3678  0.05
O 0.4917 0.8325 0.4553  0.06
O 0.5404 0.7073 0.1674  0.09
O 0.4905 0.1031 0.2084  0.04
O 0.6139 0.9176 0.6322  0.05
O 0.0051 0.7349 0.8277  0.09
O 0.4093 0.9334 0.9335  0.05
O 0.7735 0.7402 0.5352  0.05
O 0.6762 0.7745 0.8998  0.04
O 0.9949 0.2651 0.1723  0.09
O 0.8325 0.4917 0.9553  0.06
O 0.2598 0.2265 0.9648  0.05
O 0.1675 0.5083 0.0447  0.06
O 0.2255 0.3238 0.6002  0.04
O 0.9334 0.4093 0.4335  0.05
O 0.7402 0.7735 0.0352  0.05
O 0.7745 0.6762 0.3998  0.04
O 0.3238 0.2255 0.1002  0.04
O 0.2265 0.2598 0.4648  0.05
Yb 0.1455 0.8493 0.4687  0.61
Yb 0.8545 0.1507 0.5313  0.61
Yb 0.8493 0.1455 0.9687  0.61
Yb 0.1507 0.8545 0.0313  0.61
Mo 0.5483 0.4297 0.5894  -0.04
Mo 0.2605 0.7454 0.6454  -0.03
Mo 0.5703 0.4517 0.9106  -0.04
Mo 0.7395 0.2546 0.3546  -0.03
Mo 0.7454 0.2605 0.1454  -0.03
Mo 0.2546 0.7395 0.8546  -0.03
Mo 0.4517 0.5703 0.4106  -0.04
Mo 0.4297 0.5483 0.0894  -0.04
Ba 0.0328 0.9672 0.2500  0.00
Ba 0.9672 0.0328 0.7500  0.00